# 1
{"formula": "PdIN2", "functional": "PBE", "state": "optimized geometry", "lattice": [[1.6647, 0.9611, 6.2413], [-1.6647, 0.9611, 6.2413], [0.0000, -1.9223, 6.2413]], "species": ["Pd", "I", "N", "N"], "frac_coords": [[0.0000, 0.0000, 0.0000], [0.5000, 0.5000, 0.5000], [0.3831, 0.3831, 0.3831], [0.6169, 0.6169, 0.6169]], "sg": "R-3m", "relative_energy_kj_per_mol_atoms": 0.0}

# 2
{"formula": "PdIN3", "functional": "PBE", "state": "optimized geometry", "lattice": [[4.0140, 0.0000, 0.0000], [0.0000, 4.0140, 0.0000], [0.0000, 0.0000, 4.0140]], "species": ["Pd", "I", "N", "N", "N"], "frac_coords": [[0.0000, 0.0000, 0.0000], [0.5000, 0.5000, 0.5000], [0.0000, 0.5000, 0.5000], [0.5000, 0.0000, 0.5000], [0.5000, 0.5000, 0.0000]], "sg": "Pm-3m", "dft_energy_ev_per_atom": -3.8457}

# 3
{"formula": "Pd2IN", "functional": "PBE", "state": "optimized geometry", "lattice": [[-2.6791, 2.6791, 5.6442], [2.6791, -2.6791, 5.6442], [2.6791, 2.6791, -5.6442]], "species": ["Pd", "Pd", "Pd", "Pd", "I", "I", "N", "N"], "frac_coords": [[0.3750, 0.2125, 0.3375], [0.7875, 0.1250, 0.1625], [0.8750, 0.0375, 0.6625], [0.9625, 0.6250, 0.8375], [0.2500, 0.7500, 0.5000], [0.5000, 0.5000, 0.0000], [0.0000, 0.0000, 0.0000], [0.7500, 0.2500, 0.5000]], "sg": "I-42d", "relative_energy_kj_per_mol_atoms": 0.0}

# 4
{"formula": "PdIN2", "functional": "PBE", "state": "optimized geometry", "lattice": [[-2.9150, 2.9150, 3.7481], [2.9150, -2.9150, 3.7481], [2.9150, 2.9150, -3.7481]], "species": ["Pd", "Pd", "I", "I", "N", "N", "N", "N"], "frac_coords": [[0.0000, 0.0000, 0.0000], [0.7500, 0.2500, 0.5000], [0.2500, 0.7500, 0.5000], [0.5000, 0.5000, 0.0000], [0.0584, 0.6250, 0.9334], [0.3750, 0.3084, 0.4334], [0.6916, 0.1250, 0.0666], [0.8750, 0.9416, 0.5666]], "sg": "I-42d", "relative_energy_kj_per_mol_atoms": 39.1}

# 5
{"formula": "PdI3N", "functional": "PBE", "state": "optimized geometry", "lattice": [[6.6064, -3.9002, 0.0000], [6.6064, 3.9002, 0.0000], [-0.6897, 0.0000, 7.6999]], "species": ["Pd", "Pd", "I", "I", "I", "I", "I", "I", "N", "N"], "frac_coords": [[0.2460, 0.7540, 0.0000], [0.7540, 0.2460, 0.0000], [0.0250, 0.0250, 0.7740], [0.2352, 0.2352, 0.3181], [0.4902, 0.4902, 0.2331], [0.5098, 0.5098, 0.7669], [0.7648, 0.7648, 0.6819], [0.9750, 0.9750, 0.2260], [0.0924, 0.0924, 0.4084], [0.9076, 0.9076, 0.5916]], "sg": "C2/m", "relative_energy_kj_per_mol_atoms": 0.0}

# 6
{"formula": "PdPtI2N", "functional": "PBE", "state": "optimized geometry", "lattice": [[5.4121, 0.0000, 0.0000], [0.0000, 5.4121, 0.0000], [0.0000, 0.0000, 5.1896]], "species": ["Pd", "Pt", "I", "I", "N"], "frac_coords": [[0.0000, 0.0000, 0.0000], [0.0000, 0.0000, 0.5000], [0.0000, 0.5000, 0.5000], [0.5000, 0.0000, 0.5000], [0.5000, 0.5000, 0.0000]], "sg": "P4/mmm", "relative_energy_kj_per_mol_atoms": 72.7}

Number 1: spin magnetization 0.000 μB per formula unit. Number 2: spin magnetization 2.825 μB per formula unit. Number 3: spin magnetization 0.000 μB per formula unit. Number 4: spin magnetization 0.000 μB per formula unit. Number 5: spin magnetization 0.000 μB per formula unit. Number 6: spin magnetization 2.208 μB per formula unit.